First-principles (GGA-PBE) data for a relaxed LiMgAs2 crystal, as listed in the Alexandria database.

a b c (Å): 3.825 4.294 4.400
angles (deg): 90.00 90.00 90.00
Element x y z (fractional)
Li1 0.000 0.000 0.000
Mg1 0.000 0.500 0.500
As1 0.500 0.000 0.500
As2 0.500 0.500 0.000

Properties
- E_tot (eV/f.u.) = -14.3

=====

First-principles (GGA-PBE) data for a relaxed LiMgAs3 crystal, as listed in the Alexandria database.

a b c (Å): 4.648 4.648 4.648
angles (deg): 90.00 90.00 90.00
Element x y z (fractional)
Li1 0.000 0.000 0.000
Mg1 0.500 0.500 0.500
As1 0.000 0.000 0.500
As2 0.000 0.500 0.000
As3 0.500 0.000 0.000

Properties
- E_tot (eV/f.u.) = -16.1
- energy relative to the lowest polymorph listed for this composition (meV per atom) = 0

=====

First-principles (GGA-PBE) data for a relaxed LiMgAs2 crystal, as listed in the Alexandria database.

a b c (Å): 3.039 3.863 6.178
angles (deg): 90.00 94.32 90.00
Element x y z (fractional)
Li1 0.000 0.000 0.000
Mg1 0.000 0.000 0.500
As1 0.498 0.500 0.757
As2 0.502 0.500 0.243

Properties
- E_tot (eV/f.u.) = -14.3

=====

First-principles (GGA-PBE) data for a relaxed LiMg3As crystal, as listed in the Alexandria database.

a b c (Å): 5.130 5.130 5.130
angles (deg): 90.00 90.00 90.00
Element x y z (fractional)
Li1 0.000 0.000 0.000
Mg1 0.000 0.500 0.500
Mg2 0.500 0.000 0.500
Mg3 0.500 0.500 0.000
As1 0.500 0.500 0.500

Properties
- E_tot (eV/f.u.) = -11.0
- energy relative to the lowest polymorph listed for this composition (meV per atom) = 0

=====

First-principles (GGA-PBE) data for a relaxed LiMgAs2 crystal, as listed in the Alexandria database.

a b c (Å): 3.244 3.244 7.910
angles (deg): 90.00 90.00 90.00
Element x y z (fractional)
Li1 0.000 0.000 0.000
Mg1 0.500 0.500 0.216
As1 0.000 0.000 0.417
As2 0.500 0.500 0.861

Properties
- E_tot (eV/f.u.) = -13.3

=====

First-principles (GGA-PBE) data for a relaxed LiMgAs2 crystal, as listed in the Alexandria database.

a b c (Å): 2.875 2.875 9.943
angles (deg): 90.00 90.00 90.00
Element x y z (fractional)
Li1 0.000 0.000 0.000
Mg1 0.500 0.500 0.253
As1 0.000 0.000 0.452
As2 0.500 0.500 0.815

Properties
- E_tot (eV/f.u.) = -13.0

=====

Q: What is the E_tot in the first record?
A: -14.3 eV/f.u.